DFT (PBE+U) results for BaB4Mo3O12 after structural relaxation.

Cell and atoms, written as extended XYZ:
```
20
Lattice="5.007 2.891 2.773 -5.007 2.891 2.773 0.000 -5.782 2.773" Properties=species:S:1:pos:R:3 pbc="T T T"
Ba 0.000 0.000 0.000
B -2.211 -3.830 4.159
B 0.000 0.000 4.159
B -2.211 3.830 4.159
B 4.422 0.000 4.159
Mo -2.779 -0.968 2.773
Mo 2.228 -1.923 2.773
Mo 0.551 2.891 2.773
O -2.918 -2.691 3.903
O -4.177 0.000 4.159
O -0.871 -3.873 4.415
O -1.398 0.000 4.159
O -2.918 2.691 4.415
O 2.089 -3.618 4.159
O 0.699 -1.210 4.159
O -0.871 3.873 3.903
O 0.699 1.210 4.159
O 3.789 -1.182 3.903
O 2.089 3.618 4.159
O 3.789 1.182 4.415
```

Values from the calculation:
**Total moment**: 8.00 μB per formula unit
**E_tot**: -153.3 eV per cell
**Space-group type**: No. 155